A plane-wave DFT calculation with PBE was carried out for an optimized crystal structure of LiHgAu2.

Calculated formation energy   -0.254 eV per atom
Total magnetic moment   0.0000 μB/atom
N(E_F)   1.1 states/eV/f.u.

Cell lengths 3.155, 3.879, 5.966 Å; angles 90.00, 90.88, 90.00 degrees
Space group Pm (No. 6)
One atom of each set of equivalent atoms:
Li (0.000, 0.000, 0.000) (multiplicity 1)
Hg (0.499, 0.500, 0.261) (multiplicity 1)
Au (0.498, 0.500, 0.784) (multiplicity 1)
Au (0.998, 0.000, 0.531) (multiplicity 1)